Here is an optimized crystal structure of FeIOF2 from Alexandria via LeMat-Bulk. Energies are from PBE with a Hubbard U.

Cell lengths 4.934, 4.934, 4.010 Å; angles 90.00, 90.00, 90.00 degrees
Fractional coordinates of all 5 atoms:
I 0.000 0.000 0.000
Fe 0.500 0.500 0.500
O 0.000 0.000 0.500
F 0.000 0.500 0.000
F 0.500 0.000 0.000

Fermi-level density of states = 2.73 states/eV/cell
V = 19.52 A^3/atom
ΔE to the lowest computed polymorph = 832.9 meV/atom
total magnetic moment = 4.69 μB/f.u.
energy = -3.385 eV/atom